(1)
The following is a DFT calculation (GGA-PBE) of a relaxed NbSbTe2Rh crystal.

a b c (Å): 5.3028 5.3028 5.3364
angles (deg): 90.00 90.00 90.00
Last column: nearest neighbours and their distance in Å.
Sites, in units of the cell vectors:
Rh: 0.5000 0.5000 0.5000  4 Sb 3.75, 8 Te 3.76
Te: 0.5000 0.0000 0.0000  2 Nb 2.65
Te: 0.0000 0.5000 0.0000  2 Nb 2.65
Nb: 0.0000 0.0000 0.0000  4 Te 2.65, 2 Sb 2.67
Sb: 0.0000 0.0000 0.5000  2 Nb 2.67

M_tot ... 0.000 μB/cell
Energy above the lowest structure with this stoichiometry ... 0.0544 eV/atom
Crystal system ... tetragonal
Symmetry ... P4/mmm
Raw formation energy ... 396 kJ/mol of formula units
E ... -23.7 eV per formula unit

=====

(2)
The following is a DFT calculation (GGA-PBE) of a relaxed Ca2NbPt2 crystal.

a b c (Å): 6.8988 6.8988 4.6840
angles (deg): 90.00 90.00 90.00
Last column: nearest neighbours and their distance in Å.
Sites, in units of the cell vectors:
Ca: 0.8271 0.3271 0.5000  6 Pt 2.98-3.19
Ca: 0.6729 0.8271 0.5000  6 Pt 2.98-3.19
Ca: 0.1729 0.6729 0.5000  6 Pt 2.98-3.19
Ca: 0.3271 0.1729 0.5000  6 Pt 2.98-3.19
Pt: 0.3611 0.8611 0.0000  2 Nb 2.67, 1 Pt 2.71, 2 Ca 2.98
Pt: 0.1389 0.3611 0.0000  2 Nb 2.67, 1 Pt 2.71, 2 Ca 2.98
Pt: 0.8611 0.6389 0.0000  2 Nb 2.67, 1 Pt 2.71, 2 Ca 2.98
Pt: 0.6389 0.1389 0.0000  2 Nb 2.67, 1 Pt 2.71, 2 Ca 2.98
Nb: 0.5000 0.5000 0.0000  4 Pt 2.67
Nb: 0.0000 0.0000 0.0000  4 Pt 2.67

E_form ... -0.530 eV per atom
M_tot ... 0.001 μB/cell
Energy above the lowest structure with this stoichiometry ... 0.0000 eV/atom
Crystal system ... tetragonal
Symmetry ... P4/mbm
E ... -28.8 eV per formula unit

=====

(3)
The following is a DFT calculation (GGA-PBE) of a relaxed K3Ca2Cl6 crystal.

a b c (Å): 5.4181 5.4181 12.9842
angles (deg): 102.04 102.04 90.00
Last column: nearest neighbours and their distance in Å.
Sites, in units of the cell vectors:
Cl: 0.3025 0.3025 0.6051  1 Ca 2.71
Cl: 0.5874 0.0874 0.1748  2 Ca 2.71
Cl: 0.9126 0.4126 0.8252  2 Ca 2.71
Cl: 0.6975 0.6975 0.3949  1 Ca 2.71
Cl: 0.4126 0.9126 0.8252  2 Ca 2.71
Cl: 0.0874 0.5874 0.1748  2 Ca 2.71
Ca: 0.4116 0.4116 0.8232  5 Cl 2.71
Ca: 0.5884 0.5884 0.1768  5 Cl 2.71
K: 0.1799 0.1799 0.3598  1 Cl 3.04
K: 0.8201 0.8201 0.6402  1 Cl 3.04
K: 0.0000 0.0000 0.0000  8 Cl 3.47

M_tot ... 1.000 μB/cell
Crystal system ... tetragonal
Symmetry ... I4/mmm
Raw formation energy ... -2095 kJ/mol of formula units
E ... -40.1 eV per formula unit

=====

(4)
The following is a DFT calculation (GGA-PBE) of a relaxed Li2DyCd2 crystal.

a b c (Å): 3.1650 8.1414 8.1414
angles (deg): 90.00 90.00 90.00
Last column: nearest neighbours and their distance in Å.
Sites, in units of the cell vectors:
Li: 0.0000 0.8834 0.6166  1 Li 2.68, 6 Cd 2.81-2.94
Li: 0.0000 0.6166 0.1166  1 Li 2.68, 6 Cd 2.81-2.94
Li: 0.0000 0.1166 0.3834  1 Li 2.68, 6 Cd 2.81-2.94
Li: 0.0000 0.3834 0.8834  1 Li 2.68, 6 Cd 2.81-2.94
Dy: 0.0000 0.5000 0.5000  2 Dy 3.16, 4 Li 3.26, 8 Cd 3.38
Dy: 0.0000 0.0000 0.0000  2 Dy 3.16, 4 Li 3.26, 8 Cd 3.38
Cd: 0.5000 0.6814 0.8186  6 Li 2.81-2.94
Cd: 0.5000 0.1814 0.6814  6 Li 2.81-2.94
Cd: 0.5000 0.8186 0.3186  6 Li 2.81-2.94
Cd: 0.5000 0.3186 0.1814  6 Li 2.81-2.94

E_form ... -0.197 eV per atom
M_tot ... 0.000 μB/cell
Energy above the lowest structure with this stoichiometry ... 0.0328 eV/atom
Crystal system ... tetragonal
Symmetry ... P4/mbm
E ... -11.2 eV per formula unit